No. 1
VASP calculation (PBE) on crystalline NdHo5Tm2Th at its relaxed geometry.

Calculated values
SG: Cmc2_1 (36)
ΔE_f, meV/atom: 167
Electronic total energy, Ry/atom: -0.34719
Size of the total moment, μB/f.u.: 0.0

Cell: 5.6971 10.9741 9.6655 Å, 90.00 90.00 105.04°
With the nearest neighbours (Å) after each atom.
Sites, in units of the cell vectors:
Nd1 0.5958 0.1915 0.9225  2 Ho 3.03-3.17
Nd2 0.4042 0.8085 0.4225  2 Ho 3.03-3.17
Ho1 0.3931 0.7863 0.0369  3 Ho 3.29-3.61, 4 Tm 3.33-3.52
Ho2 0.7333 0.4665 0.8352  1 Nd 3.03, 1 Tm 3.28
Ho3 0.4710 0.9420 0.7425  2 Nd 3.17-3.40, 3 Ho 3.29-3.51, 2 Tm 3.44
Ho4 0.3057 0.6113 0.7161  2 Th 3.40, 5 Ho 3.43-3.77, 3 Tm 3.50-3.64, 1 Nd 3.52
Ho5 0.9866 0.9733 0.5168  3 Tm 3.25-3.63, 2 Nd 3.46, 2 Ho 3.60
Ho6 0.6069 0.2137 0.5369  3 Ho 3.29-3.61, 4 Tm 3.33-3.52
Ho7 0.2667 0.5335 0.3352  1 Nd 3.03, 1 Tm 3.28
Ho8 0.5290 0.0580 0.2425  2 Nd 3.17-3.40, 3 Ho 3.29-3.51, 2 Tm 3.44
Ho9 0.6943 0.3887 0.2161  2 Th 3.40, 5 Ho 3.43-3.77, 3 Tm 3.50-3.64, 1 Nd 3.52
Ho10 0.0134 0.0267 0.0168  3 Tm 3.25-3.63, 2 Nd 3.46, 2 Ho 3.60
Tm1 0.8879 0.7759 0.8236  9 Ho 3.25-3.63, 1 Th 3.34
Tm2 0.1340 0.2680 0.7060  1 Th 3.30, 4 Ho 3.33-3.64, 2 Nd 3.63
Tm3 0.1121 0.2241 0.3236  9 Ho 3.25-3.63, 1 Th 3.34
Tm4 0.8660 0.7320 0.2060  1 Th 3.30, 4 Ho 3.33-3.64, 2 Nd 3.63
Th1 0.8093 0.6185 0.5244  2 Tm 3.30-3.34, 5 Ho 3.40-3.50, 2 Nd 3.62
Th2 0.1907 0.3815 0.0244  2 Tm 3.30-3.34, 5 Ho 3.40-3.50, 2 Nd 3.62

***

No. 2
VASP calculation (PBE) on crystalline Nd6Ho2TmTh at its relaxed geometry.

Calculated values
SG: C2/c (15)
ΔE_f, meV/atom: 144
Electronic total energy, Ry/atom: -0.35437
Size of the total moment, μB/f.u.: 0.0

Cell: 9.6563 8.8848 8.8848 Å, 116.11 93.76 93.76°
With the nearest neighbours (Å) after each atom.
Sites, in units of the cell vectors:
Nd1 0.0583 0.1116 0.7632  7 Nd 3.49-3.80, 2 Ho 3.51-3.83, 2 Th 3.61-3.79
Nd2 0.4417 0.2368 0.8884  7 Nd 3.49-3.80, 2 Ho 3.51-3.83, 2 Th 3.61-3.79
Nd3 0.9417 0.8884 0.2368  7 Nd 3.49-3.80, 2 Ho 3.51-3.83, 2 Th 3.61-3.79
Nd4 0.5583 0.7632 0.1116  7 Nd 3.49-3.80, 2 Ho 3.51-3.83, 2 Th 3.61-3.79
Nd5 0.3104 0.9936 0.4271  2 Nd 3.32-3.71, 1 Tm 3.44, 1 Th 3.45, 1 Ho 3.46
Nd6 0.1896 0.5729 0.0064  2 Nd 3.32-3.71, 1 Tm 3.44, 1 Th 3.45, 1 Ho 3.46
Nd7 0.6896 0.0064 0.5729  2 Nd 3.32-3.71, 1 Tm 3.44, 1 Th 3.45, 1 Ho 3.46
Nd8 0.8104 0.4271 0.9936  2 Nd 3.32-3.71, 1 Tm 3.44, 1 Th 3.45, 1 Ho 3.46
Nd9 0.1170 0.7036 0.4844  4 Nd 3.29-3.67, 3 Ho 3.31-3.49, 2 Tm 3.43-3.56
Nd10 0.3830 0.5156 0.2964  4 Nd 3.29-3.67, 3 Ho 3.31-3.49, 2 Tm 3.43-3.56
Nd11 0.8830 0.2964 0.5156  4 Nd 3.29-3.67, 3 Ho 3.31-3.49, 2 Tm 3.43-3.56
Nd12 0.6170 0.4844 0.7036  4 Nd 3.29-3.67, 3 Ho 3.31-3.49, 2 Tm 3.43-3.56
Ho1 0.4484 0.7976 0.7062  5 Nd 3.31-3.51, 2 Th 3.40-3.51, 1 Tm 3.51
Ho2 0.0516 0.2938 0.2024  5 Nd 3.31-3.51, 2 Th 3.40-3.51, 1 Tm 3.51
Ho3 0.5516 0.2024 0.2938  5 Nd 3.31-3.51, 2 Th 3.40-3.51, 1 Tm 3.51
Ho4 0.9484 0.7062 0.7976  5 Nd 3.31-3.51, 2 Th 3.40-3.51, 1 Tm 3.51
Tm1 0.2500 0.4102 0.5898  6 Nd 3.43-3.56, 2 Ho 3.51
Tm2 0.7500 0.5898 0.4102  6 Nd 3.43-3.56, 2 Ho 3.51
Th1 0.2500 0.9698 0.0302  4 Ho 3.40-3.51, 6 Nd 3.45-3.79
Th2 0.7500 0.0302 0.9698  4 Ho 3.40-3.51, 6 Nd 3.45-3.79

***

No. 3
VASP calculation (PBE) on crystalline Nd2HoTmTh at its relaxed geometry.

Calculated values
SG: P2/c (13)
ΔE_f, meV/atom: 312
Electronic total energy, Ry/atom: -0.35931
Size of the total moment, μB/f.u.: 0.0

Cell: 6.3418 8.5102 6.3885 Å, 90.18 90.00 90.00°
With the nearest neighbours (Å) after each atom.
Sites, in units of the cell vectors:
Nd1 0.7127 0.6900 0.7509  1 Th 3.13, 1 Nd 3.23, 1 Tm 3.44
Nd2 0.7127 0.3100 0.7491  1 Th 3.13, 1 Nd 3.23, 1 Tm 3.44
Nd3 0.2873 0.6900 0.2509  1 Th 3.13, 1 Nd 3.23, 1 Tm 3.44
Nd4 0.2873 0.3100 0.2491  1 Th 3.13, 1 Nd 3.23, 1 Tm 3.44
Ho1 0.0000 0.0000 0.0000  2 Ho 3.19, 2 Th 3.25, 2 Nd 3.58
Ho2 0.0000 0.0000 0.5000  2 Ho 3.19, 2 Th 3.25, 2 Nd 3.58
Tm1 0.1921 0.5000 0.7500  8 Nd 3.44-3.68
Tm2 0.8079 0.5000 0.2500  8 Nd 3.44-3.68
Th1 0.5536 0.0000 0.2500  2 Nd 3.13, 2 Ho 3.25, 2 Th 3.27
Th2 0.4464 0.0000 0.7500  2 Nd 3.13, 2 Ho 3.25, 2 Th 3.27

***

No. 4
VASP calculation (PBE) on crystalline NdHoTmTh at its relaxed geometry.

Calculated values
SG: F-43m (216)
Energy relative to the lowest polymorph listed for this composition, meV per atom: 112
ΔE_f, meV/atom: 127
Electronic total energy, Ry/atom: -0.38091
Size of the total moment, μB/f.u.: 0.0

Cell: 5.6781 5.6781 5.6781 Å, 60.00 60.00 60.00°
With the nearest neighbours (Å) after each atom.
Sites, in units of the cell vectors:
Tm1 0.5000 0.5000 0.5000  4 Th 3.48, 4 Nd 3.48
Nd1 0.2500 0.2500 0.2500  4 Ho 3.48, 4 Tm 3.48
Ho1 0.0000 0.0000 0.0000  4 Nd 3.48, 4 Th 3.48
Th1 0.7500 0.7500 0.7500  4 Tm 3.48, 4 Ho 3.48

***

No. 5
VASP calculation (PBE) on crystalline NdHo6Tm3Th2 at its relaxed geometry.

Calculated values
SG: C2/m (12)
ΔE_f, meV/atom: 36
Electronic total energy, Ry/atom: -0.36786
Size of the total moment, μB/f.u.: 0.0

Cell: 6.1453 6.1453 11.6894 Å, 95.05 95.05 119.94°
With the nearest neighbours (Å) after each atom.
Sites, in units of the cell vectors:
Nd1 0.0000 0.0000 0.0000  6 Th 3.55, 6 Ho 3.55
Ho1 0.9153 0.5777 0.7496  3 Tm 3.51-3.54, 6 Ho 3.52-3.60, 2 Th 3.53, 1 Nd 3.55
Ho2 0.7467 0.7467 0.2504  3 Tm 3.52-3.53, 6 Ho 3.52-3.60, 2 Th 3.53, 1 Nd 3.55
Ho3 0.0847 0.4223 0.2504  3 Tm 3.51-3.54, 6 Ho 3.52-3.60, 2 Th 3.53, 1 Nd 3.55
Ho4 0.5777 0.9153 0.7496  3 Tm 3.51-3.54, 6 Ho 3.52-3.60, 2 Th 3.53, 1 Nd 3.55
Ho5 0.2533 0.2533 0.7496  3 Tm 3.52-3.53, 6 Ho 3.52-3.60, 2 Th 3.53, 1 Nd 3.55
Ho6 0.4223 0.0847 0.2504  3 Tm 3.51-3.54, 6 Ho 3.52-3.60, 2 Th 3.53, 1 Nd 3.55
Tm1 0.1664 0.8336 0.5000  6 Ho 3.51-3.54, 6 Tm 3.54-3.55
Tm2 0.8336 0.1664 0.5000  6 Ho 3.51-3.54, 6 Tm 3.54-3.55
Tm3 0.5000 0.5000 0.5000  6 Ho 3.52-3.53, 6 Tm 3.55
Th1 0.3332 0.6668 0.0000  6 Ho 3.53, 3 Nd 3.55, 3 Th 3.55
Th2 0.6668 0.3332 0.0000  6 Ho 3.53, 3 Nd 3.55, 3 Th 3.55

***

No. 6
VASP calculation (PBE) on crystalline Nd3Ho6TmTh2 at its relaxed geometry.

Calculated values
SG: C2/m (12)
ΔE_f, meV/atom: 17
Electronic total energy, Ry/atom: -0.37284
Size of the total moment, μB/f.u.: 0.0

Cell: 6.1876 6.1876 11.7795 Å, 95.03 95.03 119.97°
With the nearest neighbours (Å) after each atom.
Sites, in units of the cell vectors:
Nd1 0.1665 0.8335 0.5000  6 Nd 3.57-3.58, 6 Ho 3.60-3.62
Nd2 0.8335 0.1665 0.5000  6 Nd 3.57-3.58, 6 Ho 3.60-3.62
Nd3 0.5000 0.5000 0.5000  6 Nd 3.57, 6 Ho 3.59-3.62
Ho1 0.9186 0.5820 0.7555  2 Th 3.50, 1 Tm 3.52, 6 Ho 3.55-3.61, 3 Nd 3.60-3.62
Ho2 0.7447 0.7447 0.2450  2 Th 3.50, 1 Tm 3.53, 6 Ho 3.55-3.61, 3 Nd 3.59-3.61
Ho3 0.0814 0.4180 0.2445  2 Th 3.50, 1 Tm 3.52, 6 Ho 3.55-3.61, 3 Nd 3.60-3.62
Ho4 0.5820 0.9186 0.7555  2 Th 3.50, 1 Tm 3.52, 6 Ho 3.55-3.61, 3 Nd 3.60-3.62
Ho5 0.2553 0.2553 0.7550  2 Th 3.50, 1 Tm 3.53, 6 Ho 3.55-3.61, 3 Nd 3.59-3.61
Ho6 0.4180 0.0814 0.2445  2 Th 3.50, 1 Tm 3.52, 6 Ho 3.55-3.61, 3 Nd 3.60-3.62
Tm1 0.0000 0.0000 0.0000  6 Ho 3.52-3.53, 6 Th 3.57
Th1 0.3335 0.6665 0.0000  6 Ho 3.50, 3 Th 3.57-3.58, 3 Tm 3.57
Th2 0.6665 0.3335 0.0000  6 Ho 3.50, 3 Th 3.57-3.58, 3 Tm 3.57

***

No. 7
VASP calculation (PBE) on crystalline Nd6HoTm2Th at its relaxed geometry.

Calculated values
SG: C2/c (15)
ΔE_f, meV/atom: 142
Electronic total energy, Ry/atom: -0.35374
Size of the total moment, μB/f.u.: 0.0

Cell: 9.6570 8.8736 8.8736 Å, 116.06 93.82 93.82°
With the nearest neighbours (Å) after each atom.
Sites, in units of the cell vectors:
Nd1 0.0582 0.1098 0.7635  7 Nd 3.48-3.81, 2 Tm 3.50-3.81, 2 Th 3.60-3.77
Nd2 0.4418 0.2365 0.8902  7 Nd 3.48-3.81, 2 Tm 3.50-3.81, 2 Th 3.60-3.77
Nd3 0.9418 0.8902 0.2365  7 Nd 3.48-3.81, 2 Tm 3.50-3.81, 2 Th 3.60-3.77
Nd4 0.5582 0.7635 0.1098  7 Nd 3.48-3.81, 2 Tm 3.50-3.81, 2 Th 3.60-3.77
Nd5 0.3116 0.9934 0.4277  1 Nd 3.32, 1 Th 3.44, 1 Ho 3.44, 1 Tm 3.46
Nd6 0.1884 0.5723 0.0066  1 Nd 3.32, 1 Th 3.44, 1 Ho 3.44, 1 Tm 3.46
Nd7 0.6884 0.0066 0.5723  1 Nd 3.32, 1 Th 3.44, 1 Ho 3.44, 1 Tm 3.46
Nd8 0.8116 0.4277 0.9934  1 Nd 3.32, 1 Th 3.44, 1 Ho 3.44, 1 Tm 3.46
Nd9 0.1176 0.7032 0.4847  3 Nd 3.29-3.48, 3 Tm 3.31-3.48, 2 Ho 3.42-3.56
Nd10 0.3824 0.5153 0.2968  3 Nd 3.29-3.48, 3 Tm 3.31-3.48, 2 Ho 3.42-3.56
Nd11 0.8824 0.2968 0.5153  3 Nd 3.29-3.48, 3 Tm 3.31-3.48, 2 Ho 3.42-3.56
Nd12 0.6176 0.4847 0.7032  3 Nd 3.29-3.48, 3 Tm 3.31-3.48, 2 Ho 3.42-3.56
Ho1 0.2500 0.4098 0.5902  6 Nd 3.42-3.56, 2 Tm 3.51
Ho2 0.7500 0.5902 0.4098  6 Nd 3.42-3.56, 2 Tm 3.51
Tm1 0.4481 0.7983 0.7070  5 Nd 3.31-3.50, 2 Th 3.39-3.50, 1 Ho 3.51
Tm2 0.0519 0.2930 0.2017  5 Nd 3.31-3.50, 2 Th 3.39-3.50, 1 Ho 3.51
Tm3 0.5519 0.2017 0.2930  5 Nd 3.31-3.50, 2 Th 3.39-3.50, 1 Ho 3.51
Tm4 0.9481 0.7070 0.7983  5 Nd 3.31-3.50, 2 Th 3.39-3.50, 1 Ho 3.51
Th1 0.2500 0.9687 0.0313  4 Tm 3.39-3.50, 6 Nd 3.44-3.77
Th2 0.7500 0.0313 0.9687  4 Tm 3.39-3.50, 6 Nd 3.44-3.77

***

No. 8
VASP calculation (PBE) on crystalline Nd2Ho2Tm2Th at its relaxed geometry.

Calculated values
SG: C2/m (12)
ΔE_f, meV/atom: 148
Electronic total energy, Ry/atom: -0.35717
Size of the total moment, μB/f.u.: 0.0

Cell: 3.4825 14.2208 11.7552 Å, 155.43 90.00 97.03°
With the nearest neighbours (Å) after each atom.
Sites, in units of the cell vectors:
Nd1 0.5900 0.1799 0.9499  3 Tm 3.45-3.65, 4 Ho 3.46-3.69, 2 Nd 3.48, 2 Th 3.58
Nd2 0.4100 0.8201 0.0501  3 Tm 3.45-3.65, 4 Ho 3.46-3.69, 2 Nd 3.48, 2 Th 3.58
Ho1 0.6538 0.3076 0.3779  4 Nd 3.46-3.69, 5 Ho 3.48-3.60, 1 Tm 3.50
Ho2 0.3462 0.6924 0.6221  4 Nd 3.46-3.69, 5 Ho 3.48-3.60, 1 Tm 3.50
Tm1 0.2977 0.5955 0.2215  4 Tm 3.42-3.48, 3 Nd 3.45-3.65, 3 Th 3.45-3.48, 1 Ho 3.50
Tm2 0.7023 0.4045 0.7785  4 Tm 3.42-3.48, 3 Nd 3.45-3.65, 3 Th 3.45-3.48, 1 Ho 3.50
Th1 0.0000 0.0000 0.5000  6 Tm 3.45-3.48, 2 Th 3.48, 4 Nd 3.58

***

No. 9
VASP calculation (PBE) on crystalline Nd2Ho5TmTh at its relaxed geometry.

Calculated values
SG: Cmc2_1 (36)
ΔE_f, meV/atom: 171
Electronic total energy, Ry/atom: -0.34931
Size of the total moment, μB/f.u.: 0.0

Cell: 5.6006 10.3332 10.7057 Å, 90.00 90.00 105.72°
With the nearest neighbours (Å) after each atom.
Sites, in units of the cell vectors:
Nd1 0.8856 0.7711 0.8169  8 Ho 3.27-3.56
Nd2 0.1154 0.2307 0.7343  1 Tm 3.39, 7 Ho 3.43-3.69, 2 Th 3.72
Nd3 0.1144 0.2289 0.3169  8 Ho 3.27-3.56
Nd4 0.8846 0.7693 0.2343  1 Tm 3.39, 7 Ho 3.43-3.69, 2 Th 3.72
Ho1 0.3896 0.7791 0.0216  6 Ho 3.48-3.83, 4 Nd 3.56-3.61, 1 Tm 3.78
Ho2 0.7210 0.4419 0.8148  1 Th 3.11, 1 Nd 3.27, 2 Ho 3.40
Ho3 0.4793 0.9586 0.7371  2 Th 3.14-3.27, 2 Nd 3.47, 1 Ho 3.48
Ho4 0.2993 0.5986 0.7087  4 Ho 3.40-3.80, 3 Nd 3.48-3.67, 3 Tm 3.52-3.78, 1 Th 3.56
Ho5 0.9845 0.9691 0.5252  2 Th 3.21, 2 Nd 3.41-3.43
Ho6 0.6104 0.2209 0.5216  6 Ho 3.48-3.83, 4 Nd 3.56-3.61, 1 Tm 3.78
Ho7 0.2790 0.5581 0.3148  1 Th 3.11, 1 Nd 3.27, 2 Ho 3.40
Ho8 0.5207 0.0414 0.2371  2 Th 3.14-3.27, 2 Nd 3.47, 1 Ho 3.48
Ho9 0.7007 0.4014 0.2087  4 Ho 3.40-3.80, 3 Nd 3.48-3.67, 3 Tm 3.52-3.78, 1 Th 3.56
Ho10 0.0155 0.0309 0.0252  2 Th 3.21, 2 Nd 3.41-3.43
Tm1 0.8004 0.6008 0.5096  2 Nd 3.39-3.70, 8 Ho 3.52-3.78, 2 Th 3.66
Tm2 0.1996 0.3992 0.0096  2 Nd 3.39-3.70, 8 Ho 3.52-3.78, 2 Th 3.66
Th1 0.5845 0.1689 0.9557  5 Ho 3.11-3.27
Th2 0.4155 0.8311 0.4557  5 Ho 3.11-3.27

***

No. 10
VASP calculation (PBE) on crystalline NdHoTmTh2 at its relaxed geometry.

Calculated values
SG: Cmcm (63)
ΔE_f, meV/atom: 425
Electronic total energy, Ry/atom: -0.39002
Size of the total moment, μB/f.u.: 0.0

Cell: 6.6663 6.6696 8.5168 Å, 113.05 90.00 90.00°
With the nearest neighbours (Å) after each atom.
Sites, in units of the cell vectors:
Nd1 0.2500 0.6520 0.3039  1 Tm 3.08, 4 Th 3.37
Nd2 0.7500 0.3481 0.6961  1 Tm 3.08, 4 Th 3.37
Ho1 0.7500 0.7764 0.5528  4 Tm 3.52-3.86, 4 Nd 3.52-3.86
Ho2 0.2500 0.2236 0.4472  4 Tm 3.52-3.86, 4 Nd 3.52-3.86
Tm1 0.2500 0.8482 0.6964  1 Nd 3.08, 4 Th 3.33
Tm2 0.7500 0.1518 0.3036  1 Nd 3.08, 4 Th 3.33
Th1 0.5000 0.2441 0.0000  4 Th 3.26-3.41, 2 Tm 3.33, 2 Nd 3.37
Th2 0.0000 0.7559 0.0000  4 Th 3.26-3.41, 2 Tm 3.33, 2 Nd 3.37
Th3 0.5000 0.7559 0.0000  4 Th 3.26-3.41, 2 Tm 3.33, 2 Nd 3.37
Th4 0.0000 0.2441 0.0000  4 Th 3.26-3.41, 2 Tm 3.33, 2 Nd 3.37